## CsCaI3 (GGA-PBE)

Data for a relaxed CsCaI3 crystal.

ρ ... 3429 kg/m³
E_form (uncorrected) ... -1.565 eV/atom
Electronic total energy ... -3.066 eV/atom

Cell lengths 35.766, 13.456, 13.456 Å; angles 159.59, 162.95, 17.05 degrees
Atoms (fractional coordinates):
Ca 0.988 0.847 0.153
I 0.761 0.399 0.601
I 0.239 0.601 0.399
I 0.807 0.977 0.023
I 0.193 0.023 0.977
I 0.779 0.658 0.342
Cs 0.561 0.072 0.928
Ca 0.012 0.153 0.847
Cs 0.439 0.928 0.072
I 0.221 0.342 0.658

***

## LaSi2Pt (GGA-PBE)

Data for a relaxed LaSi2Pt crystal.

ρ ... 8452 kg/m³
E_form (uncorrected) ... -0.278 eV/atom
Electronic total energy ... -5.731 eV/atom

Cell lengths 4.768, 4.768, 4.768 Å; angles 60.00, 60.00, 60.00 degrees
Atoms (fractional coordinates):
La 0.000 0.000 0.000
Si 0.250 0.250 0.250
Pt 0.500 0.500 0.500
Si 0.750 0.750 0.750

***

## CrSbP (GGA-PBE)

Data for a relaxed CrSbP crystal.

ρ ... 5872 kg/m³
E_form (uncorrected) ... 0.247 eV/atom
Electronic total energy ... -6.138 eV/atom

Cell lengths 4.342, 4.342, 4.342 Å; angles 60.00, 60.00, 60.00 degrees
Each line ends with the local moment (μB).
Atoms (fractional coordinates):
Cr 0.750 0.750 0.750  2.39
P 0.000 0.000 0.000  -0.04
Sb 0.500 0.500 0.500  -0.04

***

## Er2AsBr2 (GGA-PBE)

Data for a relaxed Er2AsBr2 crystal.

ρ ... 6246 kg/m³
E_form (uncorrected) ... -1.675 eV/atom
Electronic total energy ... -5.100 eV/atom

Cell lengths 4.040, 4.040, 10.958 Å; angles 79.38, 79.38, 60.00 degrees
Atoms (fractional coordinates):
Er 0.382 0.382 0.855
Br 0.770 0.770 0.689
Br 0.230 0.230 0.311
Er 0.618 0.618 0.145
As 0.000 0.000 0.000

***

## ErAg5Au6 (GGA-PBE)

Data for a relaxed ErAg5Au6 crystal.

Formation enthalpy at 0 K ... -0.216 eV/atom
ρ ... 14007 kg/m³
Electronic total energy ... -3.423 eV/atom

Cell lengths 4.276, 9.190, 7.913 Å; angles 54.50, 74.27, 62.17 degrees
Atoms (fractional coordinates):
Ag 0.500 0.500 0.000
Ag 0.000 0.666 0.668
Au 0.248 0.919 0.666
Ag 0.000 0.334 0.332
Au 0.250 0.251 0.000
Au 0.248 0.585 0.334
Au 0.752 0.081 0.334
Er 0.000 0.000 0.000
Au 0.750 0.749 0.000
Ag 0.500 0.171 0.658
Ag 0.500 0.829 0.342
Au 0.752 0.415 0.666

***

## NaLaSe2O8 (GGA-PBE)

Data for a relaxed NaLaSe2O8 crystal.

ρ ... 3882 kg/m³
E_form (uncorrected) ... -1.469 eV/atom
Electronic total energy ... -5.876 eV/atom

Cell lengths 5.368, 5.368, 8.277 Å; angles 71.08, 71.08, 60.00 degrees
Atoms (fractional coordinates):
O 0.555 0.287 0.189
O 0.445 0.713 0.811
O 0.713 0.031 0.811
Se 0.756 0.756 0.732
O 0.031 0.445 0.811
O 0.969 0.555 0.189
La 0.000 0.000 0.000
O 0.287 0.969 0.189
O 0.173 0.173 0.482
O 0.827 0.827 0.518
Se 0.244 0.244 0.268
Na 0.500 0.500 0.500

***

## Ce5GaSb5 (GGA-PBE)

Data for a relaxed Ce5GaSb5 crystal.

ρ ... 6222 kg/m³
E_form (uncorrected) ... -0.627 eV/atom
Electronic total energy ... -5.474 eV/atom

Cell lengths 6.248, 7.661, 8.893 Å; angles 107.07, 90.00, 114.07 degrees
Each line ends with the local moment (μB).
Atoms (fractional coordinates):
Ce 0.164 0.328 0.331  0.40
Sb 0.327 0.654 0.666  -0.01
Ce 0.162 0.324 0.834  -0.33
Ce 0.500 0.000 0.000  0.51
Ga 0.000 0.000 0.000  -0.01
Sb 0.666 0.332 0.832  0.00
Sb 0.673 0.346 0.334  -0.01
Ce 0.838 0.676 0.166  -0.33
Sb 0.000 0.000 0.500  0.00
Ce 0.836 0.672 0.669  0.40
Sb 0.334 0.668 0.168  0.00

***

## InReH6 (GGA-PBE)

Data for a relaxed InReH6 crystal.

ρ ... 6887 kg/m³
Electronic total energy ... -4.191 eV/atom

Cell lengths 5.391, 5.393, 3.187 Å; angles 107.50, 107.46, 58.32 degrees
Atoms (fractional coordinates):
H 0.034 0.644 0.836
Re 0.000 0.000 0.000
H 0.644 0.034 0.837
In 0.500 0.500 0.000
H 0.106 0.105 0.607
H 0.894 0.895 0.393
H 0.966 0.356 0.164
H 0.356 0.966 0.163

***

Looking at Fermi-level density of states for the records above, in order, we have 0.00 3.69 2.93 1.40 3.84 0.00 17.85 1.25 states/eV per cell.